1.
Here is a relaxed Ac3Ge2Pd9 crystal from Alexandria. Energies are from PBE-GGA.

The calculation puts the energy above the most stable polymorph in this dataset at 61.8 meV per atom.

The structure belongs to space group Immm (No. 71); the cell edges are 4.199, 10.868 and 12.713 Å and the angles 90.00°, 90.00° and 90.00°. The distinct sites, in fractional coordinates, are Ac at (0.000, 0.000, 0.000), Ac at (0.000, 0.000, 0.318), Ge at (0.000, 0.241, 0.500), Pd at (0.000, 0.284, 0.115), Pd at (0.000, 0.371, 0.330) and Pd at (0.000, 0.500, 0.000).

***

2.
Here is a relaxed AcGe2Pd3 crystal from Alexandria. Energies are from PBE-GGA.

The calculation puts the energy above the most stable polymorph in this dataset at 0.0 meV per atom.

The structure belongs to space group C2/m (No. 12); the cell edges are 17.103, 4.231 and 10.302 Å and the angles 90.00°, 108.59° and 90.00°. The distinct sites, in fractional coordinates, are Ac at (0.000, 0.000, 0.000), Ac at (0.154, 0.000, 0.697), Ge at (0.031, 0.500, 0.771), Ge at (0.137, 0.500, 0.447), Ge at (0.200, 0.000, 0.129), Pd at (0.000, 0.500, 0.500), Pd at (0.046, 0.000, 0.337), Pd at (0.129, 0.500, 0.201), Pd at (0.178, 0.500, 0.963) and Pd at (0.219, 0.000, 0.393).

***

3.
Here is a relaxed AcGePd2 crystal from Alexandria. Energies are from PBE-GGA.

The structure belongs to space group P4/mmm (No. 123); the cell edges are 3.541, 3.541 and 6.856 Å and the angles 90.00°, 90.00° and 90.00°. The distinct sites, in fractional coordinates, are Ac at (0.000, 0.000, 0.000), Ge at (0.000, 0.000, 0.500) and Pd at (0.500, 0.500, 0.299).

***

4.
Here is a relaxed AcGe6Pd12 crystal from Alexandria. Energies are from PBE-GGA.

The structure belongs to space group R-3m (No. 166, hexagonal axes); the cell edges are 11.5412, 11.5412 and 8.6405 Å and the angles 90.00°, 90.00° and 120.00°. The distinct sites, in fractional coordinates, are Ac at (0.0000, 0.0000, 0.0000), Ge at (0.0408, 0.5204, 0.2691), Pd at (0.0000, 0.3761, 0.5000) and Pd at (0.0867, 0.1734, 0.3427).

***

5.
Here is a relaxed Ac2Ge4Pd3 crystal from Alexandria. Energies are from PBE-GGA.

The structure belongs to space group Cmce (No. 64); the cell edges are 6.011, 15.919 and 7.876 Å and the angles 90.00°, 90.00° and 90.00°. The distinct sites, in fractional coordinates, are Ac at (0.000, 0.112, 0.093), Ge at (0.000, 0.183, 0.486), Ge at (0.250, 0.059, 0.750), Pd at (0.000, 0.000, 0.500) and Pd at (0.250, 0.220, 0.750).

***

6.
Here is a relaxed Ac2Ge3Pd4 crystal from Alexandria. Energies are from PBE-GGA.

The structure belongs to space group Cmce (No. 64); the cell edges are 6.111, 15.991 and 7.570 Å and the angles 90.00°, 90.00° and 90.00°. The distinct sites, in fractional coordinates, are Ac at (0.000, 0.110, 0.089), Ge at (0.000, 0.000, 0.500), Ge at (0.250, 0.233, 0.750), Pd at (0.000, 0.176, 0.492) and Pd at (0.250, 0.067, 0.750).

***

| no. | ρ (g/cm³) | energy relative to the elements (meV per atom) |
| --- | --- | --- |
| 1 | 10.212 | -685 |
| 2 | 9.751 | -779 |
| 3 | 9.897 | -424 |
| 4 | 9.695 | -539 |
| 5 | 9.375 | -674 |
| 6 | 9.856 | -732 |